# 1
Density functional theory data (PBE) for PClF after structural relaxation.

Cell: 15.676 3.873 5.061 Å, 90.00 104.95 90.00°
Space group C2/m (No. 12)
Inequivalent atoms, fractional coordinates:
P: 0.197 0.000 0.463 (multiplicity 4)
Cl: 0.104 0.500 0.318 (multiplicity 4)
F: 0.186 0.000 0.771 (multiplicity 4)

Polymorph energy (0 for the lowest one) in eV per atom: 0.3137
Density of states at the Fermi level in states/eV/cell: 3.7
Total DFT energy (no corrections) in eV per cell: -47.8
E_form (uncorrected) in eV/atom: -0.938

***

# 2
Density functional theory data (PBE) for RbTlZn2Sb2 after structural relaxation.

Cell: 4.5797 4.5797 10.7208 Å, 90.00 90.00 120.00°
Space group P-3m1 (No. 164)
Inequivalent atoms, fractional coordinates:
Rb: 0.0000 0.0000 0.0000 (multiplicity 1)
Tl: 0.0000 0.0000 0.5000 (multiplicity 1)
Zn: 0.3333 0.6667 0.7249 (multiplicity 2)
Sb: 0.3333 0.6667 0.2641 (multiplicity 2)

Density of states at the Fermi level in states/eV/cell: 0.0
Total DFT energy (no corrections) in eV per cell: -15.4
E_form (uncorrected) in eV/atom: -0.213

***

# 3
Density functional theory data (PBE) for La2MgZnH after structural relaxation.

Cell: 5.203 5.203 4.195 Å, 90.00 90.00 90.00°
Space group P4/mmm (No. 123)
Inequivalent atoms, fractional coordinates:
La: 0.000 0.500 0.000 (multiplicity 2)
Mg: 0.000 0.000 0.500 (multiplicity 1)
Zn: 0.500 0.500 0.500 (multiplicity 1)
H: 0.000 0.000 0.000 (multiplicity 1)

Polymorph energy (0 for the lowest one) in eV per atom: 0.0000
Density of states at the Fermi level in states/eV/cell: 4.2
Total DFT energy (no corrections) in eV per cell: -17.3

***

# 4
Density functional theory data (PBE) for Er4HgRh after structural relaxation.

Cell: 7.240 6.945 6.842 Å, 90.00 92.42 90.00°
Space group P2_1/c (No. 14)
Inequivalent atoms, fractional coordinates:
Er: 0.143 0.157 0.174 (multiplicity 4)
Er: 0.318 0.648 0.130 (multiplicity 4)
Hg: 0.500 0.000 0.000 (multiplicity 2)
Rh: 0.000 0.000 0.500 (multiplicity 2)

Polymorph energy (0 for the lowest one) in eV per atom: 0.1909
Density of states at the Fermi level in states/eV/cell: 12.5
Total DFT energy (no corrections) in eV per cell: -56.2
Energy relative to the elements in eV/atom: -0.37

***

# 5
Density functional theory data (PBE) for NiSn2Mo after structural relaxation.

Cell: 6.556 6.556 6.556 Å, 90.00 90.00 90.00°
Space group Fm-3m (No. 225)
Inequivalent atoms, fractional coordinates:
Ni: 0.000 0.000 0.000 (multiplicity 4)
Sn: 0.250 0.250 0.250 (multiplicity 8)
Mo: 0.000 0.000 0.500 (multiplicity 4)

Polymorph energy (0 for the lowest one) in eV per atom: 0.0000
Density of states at the Fermi level in states/eV/cell: 12.1
Total DFT energy (no corrections) in eV per cell: -93.9
Energy relative to the elements in eV/atom: 0.29

***

# 6
Density functional theory data (PBE) for Yb2SbAu after structural relaxation.

Cell: 7.444 7.444 7.444 Å, 90.00 90.00 90.00°
Space group Fm-3m (No. 225)
Inequivalent atoms, fractional coordinates:
Yb: 0.250 0.250 0.250 (multiplicity 8)
Sb: 0.000 0.000 0.000 (multiplicity 4)
Au: 0.000 0.000 0.500 (multiplicity 4)

Density of states at the Fermi level in states/eV/cell: 0.0
Total DFT energy (no corrections) in eV per cell: -57.7
E_form (uncorrected) in eV/atom: -0.992

***

# 7
Density functional theory data (PBE) for Pr3HPbS after structural relaxation.

Cell: 8.356 4.322 8.990 Å, 90.00 99.43 90.00°
Space group P2_1/m (No. 11)
Inequivalent atoms, fractional coordinates:
Pr: 0.072 0.250 0.328 (multiplicity 2)
Pr: 0.316 0.250 0.959 (multiplicity 2)
Pr: 0.381 0.750 0.628 (multiplicity 2)
H: 0.413 0.750 0.902 (multiplicity 2)
Pb: 0.336 0.750 0.244 (multiplicity 2)
S: 0.153 0.250 0.648 (multiplicity 2)

Density of states at the Fermi level in states/eV/cell: 6.5
Total DFT energy (no corrections) in eV per cell: -63.2

***

# 8
Density functional theory data (PBE) for Sr3Dy3TmTe8 after structural relaxation.

Cell: 8.8667 8.8667 22.8888 Å, 90.00 90.00 120.00°
Space group R-3m (No. 166, hexagonal axes)
Inequivalent atoms, fractional coordinates:
Sr: 0.0000 0.5000 0.0000 (multiplicity 9)
Dy: 0.0000 0.5000 0.5000 (multiplicity 9)
Tm: 0.0000 0.0000 0.5000 (multiplicity 3)
Te: 0.0000 0.0000 0.2436 (multiplicity 6)
Te: 0.0013 0.5006 0.7570 (multiplicity 18)

Density of states at the Fermi level in states/eV/cell: 14.5
Total DFT energy (no corrections) in eV per cell: -213.1
E_form (uncorrected) in eV/atom: -1.506